No. 1
Material: SrSi3Pd3
Method: DFT, PBE
State: relaxed

abc: 6.6886 6.6886 6.6886
angles: 90.00 90.00 90.00
Closest atoms and distances in Å follow each position.
Sites, in units of the cell vectors:
1 Sr 0.0000 0.0000 0.0000  12 Pd 3.74, 12 Si 3.74
2 Sr 0.5000 0.5000 0.5000  12 Pd 3.74, 12 Si 3.74
3 Si 0.0000 0.2500 0.5000  4 Pd 2.36
4 Si 0.0000 0.7500 0.5000  4 Pd 2.36
5 Si 0.2500 0.5000 0.0000  4 Pd 2.36
6 Si 0.5000 0.0000 0.2500  4 Pd 2.36
7 Si 0.5000 0.0000 0.7500  4 Pd 2.36
8 Si 0.7500 0.5000 0.0000  4 Pd 2.36
9 Pd 0.0000 0.5000 0.2500  4 Si 2.36
10 Pd 0.0000 0.5000 0.7500  4 Si 2.36
11 Pd 0.2500 0.0000 0.5000  4 Si 2.36
12 Pd 0.5000 0.2500 0.0000  4 Si 2.36
13 Pd 0.5000 0.7500 0.0000  4 Si 2.36
14 Pd 0.7500 0.0000 0.5000  4 Si 2.36

Output
* formation energy from raw total energies: -0.45 eV/atom
* energy relative to the lowest polymorph listed for this composition: 0.000 eV per atom
* D(E_F): 0.6255 states/eV/atom

No. 2
Material: Pm2ThRu3
Method: DFT, PBE
State: relaxed

abc: 7.8414 7.8414 7.0406
angles: 90.00 90.00 143.03
Closest atoms and distances in Å follow each position.
Sites, in units of the cell vectors:
1 Pm 0.0000 0.0000 0.0000  8 Ru 3.09-3.16
2 Pm 0.0000 0.0000 0.5000  8 Ru 3.01-3.03
3 Pm 0.3337 0.6663 0.0000  8 Ru 3.06-3.11
4 Pm 0.6663 0.3337 0.0000  8 Ru 3.06-3.11
5 Th 0.3360 0.6640 0.5000  8 Ru 2.95-2.98
6 Th 0.6640 0.3360 0.5000  8 Ru 2.95-2.98
7 Ru 0.1711 0.8289 0.2663  3 Th 2.95-2.98, 5 Pm 3.03-3.16, 1 Ru 3.29
8 Ru 0.1711 0.8289 0.7337  3 Th 2.95-2.98, 5 Pm 3.03-3.16, 1 Ru 3.29
9 Ru 0.5000 0.5000 0.2595  2 Th 2.97, 6 Pm 3.01-3.09
10 Ru 0.5000 0.5000 0.7405  2 Th 2.97, 6 Pm 3.01-3.09
11 Ru 0.8289 0.1711 0.2663  3 Th 2.95-2.98, 5 Pm 3.03-3.16, 1 Ru 3.29
12 Ru 0.8289 0.1711 0.7337  3 Th 2.95-2.98, 5 Pm 3.03-3.16, 1 Ru 3.29

Output
* energy relative to the lowest polymorph listed for this composition: 0.000 eV per atom
* calculated formation energy: -0.268 eV per atom
* D(E_F): 0.5982 states/eV/atom

No. 3
Material: AcPS6
Method: DFT, PBE
State: relaxed

abc: 5.5031 5.5395 7.7183
angles: 89.70 89.47 61.72
Closest atoms and distances in Å follow each position.
Sites, in units of the cell vectors:
1 Ac 0.0000 0.0000 0.0000  8 S 3.04-3.24
2 P 0.5000 0.0000 0.5000  2 S 2.02
3 S 0.1501 0.0944 0.6344  1 P 2.02
4 S 0.1964 0.2512 0.2922  1 S 2.07, 1 P 2.26
5 S 0.3606 0.3489 0.0774  1 S 2.07
6 S 0.6394 0.6511 0.9226  1 S 2.07
7 S 0.8036 0.7488 0.7078  1 S 2.07, 1 P 2.26
8 S 0.8499 0.9056 0.3656  1 P 2.02

Output
* formation energy from raw total energies: -0.47 eV/atom

No. 4
Material: NiPd3Rh
Method: DFT, PBE
State: relaxed

abc: 5.3398 5.3398 5.3398
angles: 89.29 89.29 89.29
Closest atoms and distances in Å follow each position.
Sites, in units of the cell vectors:
1 Ni 0.1207 0.1207 0.1207  1 Ni 2.26, 1 Rh 2.35, 3 Pd 2.52
2 Ni 0.8793 0.8793 0.8793  1 Ni 2.26, 1 Rh 2.35, 3 Pd 2.52
3 Pd 0.0731 0.7599 0.4257  2 Ni 2.52-2.70, 2 Rh 2.62-2.70, 1 Pd 2.79
4 Pd 0.2401 0.5743 0.9269  2 Ni 2.52-2.70, 2 Rh 2.62-2.70, 1 Pd 2.79
5 Pd 0.4257 0.0731 0.7599  2 Ni 2.52-2.70, 2 Rh 2.62-2.70, 1 Pd 2.79
6 Pd 0.5743 0.9269 0.2401  2 Ni 2.52-2.70, 2 Rh 2.62-2.70, 1 Pd 2.79
7 Pd 0.7599 0.4257 0.0731  2 Ni 2.52-2.70, 2 Rh 2.62-2.70, 1 Pd 2.79
8 Pd 0.9269 0.2401 0.5743  2 Ni 2.52-2.70, 2 Rh 2.62-2.70, 1 Pd 2.79
9 Rh 0.3717 0.3717 0.3717  1 Ni 2.35, 1 Rh 2.40, 3 Pd 2.62
10 Rh 0.6283 0.6283 0.6283  1 Ni 2.35, 1 Rh 2.40, 3 Pd 2.62

Output
* energy relative to the lowest polymorph listed for this composition: 0.000 eV per atom
* calculated formation energy: 0.281 eV per atom
* D(E_F): 1.6690 states/eV/atom

No. 5
Material: Ho5Er4Al
Method: DFT, PBE
State: relaxed

abc: 3.5062 3.5062 23.8793
angles: 90.00 90.00 90.00
Closest atoms and distances in Å follow each position.
Sites, in units of the cell vectors:
1 Ho 0.0000 0.0000 0.0000  4 Ho 3.51, 8 Er 3.52
2 Ho 0.0000 0.0000 0.2096  4 Ho 3.51, 8 Er 3.51-3.53
3 Ho 0.0000 0.0000 0.4202  4 Al 3.13
4 Ho 0.0000 0.0000 0.5798  4 Al 3.13
5 Ho 0.0000 0.0000 0.7904  4 Ho 3.51, 8 Er 3.51-3.53
6 Er 0.5000 0.5000 0.1045  4 Er 3.51, 8 Ho 3.52-3.53
7 Er 0.5000 0.5000 0.3135  4 Er 3.51, 8 Ho 3.51-3.56
8 Er 0.5000 0.5000 0.6865  4 Er 3.51, 8 Ho 3.51-3.56
9 Er 0.5000 0.5000 0.8955  4 Er 3.51, 8 Ho 3.52-3.53
10 Al 0.5000 0.5000 0.5000  8 Ho 3.13

Output
* calculated formation energy: -0.060 eV per atom
* D(E_F): 1.3796 states/eV/atom

No. 6
Material: Cr2FeRe
Method: DFT, PBE
State: relaxed

abc: 2.5335 4.1498 4.8583
angles: 90.00 99.73 90.00
Closest atoms and distances in Å follow each position.
Sites, in units of the cell vectors:
1 Cr 0.2379 0.0000 0.2402  4 Cr 2.44-2.65, 2 Fe 2.52, 2 Re 2.55
2 Cr 0.7621 0.0000 0.7598  4 Cr 2.44-2.65, 2 Fe 2.52, 2 Re 2.55
3 Fe 0.5000 0.5000 0.0000  4 Cr 2.52, 2 Fe 2.53, 2 Re 2.54
4 Re 0.0000 0.5000 0.5000  2 Re 2.53, 2 Fe 2.54, 4 Cr 2.55

Output
* energy relative to the lowest polymorph listed for this composition: 0.014 eV per atom
* calculated formation energy: 0.091 eV per atom
* D(E_F): 0.9305 states/eV/atom

No. 7
Material: Ce4CdAu3
Method: DFT, PBE
State: relaxed

abc: 10.1950 7.2303 5.4034
angles: 90.00 90.00 90.00
Closest atoms and distances in Å follow each position.
Sites, in units of the cell vectors:
1 Ce 0.0000 0.2425 0.0000  6 Au 3.17-3.24, 2 Cd 3.28, 3 Ce 3.29-3.51
2 Ce 0.0000 0.7575 0.0000  6 Au 3.17-3.24, 2 Cd 3.28, 3 Ce 3.29-3.51
3 Ce 0.2500 0.2398 0.3838  6 Au 3.15-3.37, 2 Cd 3.23, 3 Ce 3.29-3.47
4 Ce 0.2500 0.7602 0.3838  6 Au 3.15-3.37, 2 Cd 3.23, 3 Ce 3.29-3.47
5 Ce 0.5000 0.2425 0.0000  6 Au 3.17-3.24, 2 Cd 3.28, 3 Ce 3.29-3.51
6 Ce 0.5000 0.7575 0.0000  6 Au 3.17-3.24, 2 Cd 3.28, 3 Ce 3.29-3.51
7 Ce 0.7500 0.2398 0.6162  6 Au 3.15-3.37, 2 Cd 3.23, 3 Ce 3.29-3.47
8 Ce 0.7500 0.7602 0.6162  6 Au 3.15-3.37, 2 Cd 3.23, 3 Ce 3.29-3.47
9 Cd 0.0000 0.5000 0.5000  2 Au 3.22, 8 Ce 3.23-3.28
10 Cd 0.5000 0.5000 0.5000  2 Au 3.22, 8 Ce 3.23-3.28
11 Au 0.0000 0.0000 0.5000  8 Ce 3.15-3.22, 2 Au 3.25
12 Au 0.2500 0.0000 0.8738  8 Ce 3.16-3.26, 2 Au 3.25
13 Au 0.2500 0.5000 0.8657  8 Ce 3.21-3.37, 2 Cd 3.22
14 Au 0.5000 0.0000 0.5000  8 Ce 3.15-3.22, 2 Au 3.25
15 Au 0.7500 0.0000 0.1262  8 Ce 3.16-3.26, 2 Au 3.25
16 Au 0.7500 0.5000 0.1343  8 Ce 3.21-3.37, 2 Cd 3.22

Output
* calculated formation energy: -0.466 eV per atom
* D(E_F): 2.7849 states/eV/atom